(1)
Below is crystalline TiTl2HgO at its relaxed geometry, with properties calculated at the PBE level.

abc: 5.8565 5.8565 3.7236
angles: 90.00 90.00 90.00
With the nearest neighbours (Å) after each atom.
Atoms (fractional coordinates):
Tl  0.5000  0.0000  0.0000  2 Ti 2.93
Hg  0.5000  0.5000  0.5000  8 Tl 3.47, 2 Hg 3.72
Tl  0.0000  0.5000  0.0000  2 Ti 2.93
Ti  0.0000  0.0000  0.0000  2 O 1.86
O  0.0000  0.0000  0.5000  2 Ti 1.86

N(E_F)   2.28 states/eV/f.u.
Total magnetic moment   0.0 Bohr magnetons per cell
ΔE_f (raw)   -574 meV per atom


(2)
Below is crystalline Pm6Pr2Nd3 at its relaxed geometry, with properties calculated at the PBE level.

abc: 5.9924 6.5828 12.0733
angles: 80.38 68.45 62.92
With the nearest neighbours (Å) after each atom.
Atoms (fractional coordinates):
Pm  0.8133  0.0000  0.7684  3 Nd 3.37-3.45, 2 Pr 3.44, 4 Pm 3.53-3.60
Pr  0.1409  0.7181  0.5000  1 Pr 3.30, 4 Pm 3.40-3.44
Nd  0.6790  0.6421  0.0000  5 Nd 3.43-3.76, 4 Pm 3.45-3.80
Pm  0.8126  0.6855  0.2827  1 Pr 3.40, 5 Pm 3.53-3.70, 2 Nd 3.76-3.80
Pm  0.5019  0.6855  0.7173  1 Pr 3.40, 5 Pm 3.53-3.70, 2 Nd 3.76-3.80
Nd  0.3210  0.3579  0.0000  5 Nd 3.43-3.76, 4 Pm 3.45-3.80
Pm  0.1867  0.0000  0.2316  3 Nd 3.37-3.45, 2 Pr 3.44, 4 Pm 3.53-3.60
Nd  0.0000  0.0000  0.0000  6 Pm 3.37-3.76, 6 Nd 3.66-3.76
Pm  0.1874  0.3145  0.7173  1 Pr 3.40, 5 Pm 3.53-3.70, 2 Nd 3.76-3.80
Pr  0.8591  0.2819  0.5000  1 Pr 3.30, 4 Pm 3.40-3.44
Pm  0.4981  0.3145  0.2827  1 Pr 3.40, 5 Pm 3.53-3.70, 2 Nd 3.76-3.80

Polymorph energy (0 for the lowest one)   0 meV/atom
N(E_F)   16.88 states/eV/f.u.
Total magnetic moment   0.0 Bohr magnetons per cell
Energy of formation from the pure elements   14.1 kJ/mol of atoms


(3)
Below is crystalline CeZrInAg at its relaxed geometry, with properties calculated at the PBE level.

abc: 5.1833 5.1833 5.1833
angles: 60.00 60.00 60.00
With the nearest neighbours (Å) after each atom.
Atoms (fractional coordinates):
Ag  0.2500  0.2500  0.2500  4 Ce 3.17, 4 Zr 3.17
In  0.7500  0.7500  0.7500  4 Zr 3.17, 4 Ce 3.17
Zr  0.0000  0.0000  0.0000  4 In 3.17, 4 Ag 3.17
Ce  0.5000  0.5000  0.5000  4 In 3.17, 4 Ag 3.17

N(E_F)   7.48 states/eV/f.u.
Total magnetic moment   2.4 Bohr magnetons per cell
Energy of formation from the pure elements   -8.4 kJ/mol of atoms


Which value of N(E_F) does entry 3 give?
7.48 states/eV/f.u.


Among the records above, which one has the highest total magnetic moment?
CeZrInAg


What is the formula in the second record?
Pm6Pr2Nd3